# 1
Here is Pr6Hg2BiTe3 after structural relaxation from Alexandria via LeMat-Bulk. Energies are from PBE-GGA.

Cell lengths 10.3358, 10.3358, 9.2161 Å; angles 107.40, 107.40, 25.03 degrees
Last column: nearest neighbours and their distance in Å.
Positions (direct):
Pr 0.0047 0.0047 0.2527  2 Bi 3.21, 3 Te 3.22, 1 Hg 3.30
Pr 0.3306 0.3306 0.8965  3 Te 3.21-3.28, 2 Hg 3.25, 1 Bi 3.26
Pr 0.3367 0.3367 0.3981  3 Te 3.14-3.20, 3 Hg 3.15-3.20
Pr 0.6633 0.6633 0.6019  3 Te 3.14-3.20, 3 Hg 3.15-3.20
Pr 0.6694 0.6694 0.1035  3 Te 3.21-3.28, 2 Hg 3.25, 1 Bi 3.26
Pr 0.9953 0.9953 0.7473  2 Bi 3.21, 3 Te 3.22, 1 Hg 3.30
Hg 0.1762 0.1762 0.3635  6 Pr 3.15-3.30
Hg 0.8238 0.8238 0.6365  6 Pr 3.15-3.30
Bi 0.5000 0.5000 0.0000  6 Pr 3.21-3.26
Te 0.1627 0.1627 0.8495  6 Pr 3.20-3.28
Te 0.5000 0.5000 0.5000  6 Pr 3.14-3.22
Te 0.8373 0.8373 0.1505  6 Pr 3.20-3.28

Values from the calculation:
V in A^3/atom: 33.047
DOS at the Fermi energy in states/eV per cell: 7.54
Size of the total moment in μB/f.u.: 0.00
Calculated total energy in eV/atom: -4.57
Raw formation energy in kJ/mol of atoms: -98.9

=====

# 2
Here is Pr8HgBi3Te4 after structural relaxation from Alexandria via LeMat-Bulk. Energies are from PBE-GGA.

Cell lengths 9.1446, 9.1446, 9.1446 Å; angles 60.02, 60.02, 60.02 degrees
Last column: nearest neighbours and their distance in Å.
Positions (direct):
Pr 0.2489 0.2489 0.2489  3 Bi 3.22, 3 Te 3.25
Pr 0.2531 0.2531 0.7470  1 Hg 3.19, 2 Bi 3.23, 3 Te 3.23-3.27
Pr 0.2531 0.7470 0.2531  1 Hg 3.19, 2 Bi 3.23, 3 Te 3.23-3.27
Pr 0.2530 0.7469 0.7469  1 Hg 3.19, 2 Bi 3.23, 3 Te 3.23-3.27
Pr 0.7470 0.2531 0.2531  1 Hg 3.19, 2 Bi 3.23, 3 Te 3.23-3.27
Pr 0.7469 0.2530 0.7469  1 Hg 3.19, 2 Bi 3.23, 3 Te 3.23-3.27
Pr 0.7469 0.7469 0.2530  1 Hg 3.19, 2 Bi 3.23, 3 Te 3.23-3.27
Pr 0.7511 0.7511 0.7511  3 Bi 3.22, 3 Te 3.25
Hg 0.5000 0.5000 0.5000  6 Pr 3.19
Bi 0.0000 0.0000 0.5000  6 Pr 3.22-3.23
Bi 0.0000 0.5000 0.0000  6 Pr 3.22-3.23
Bi 0.5000 0.0000 0.0000  6 Pr 3.22-3.23
Te 0.0000 0.0000 0.0000  6 Pr 3.27
Te 0.0000 0.5000 0.5000  6 Pr 3.23-3.25
Te 0.5000 0.0000 0.5000  6 Pr 3.23-3.25
Te 0.5000 0.5000 0.0000  6 Pr 3.23-3.25

Values from the calculation:
V in A^3/atom: 33.812
DOS at the Fermi energy in states/eV per cell: 7.45
Size of the total moment in μB/f.u.: 0.00
Calculated total energy in eV/atom: -5.07
Raw formation energy in kJ/mol of atoms: -110.9

=====

# 3
Here is PrTlHgBi after structural relaxation from Alexandria via LeMat-Bulk. Energies are from PBE-GGA.

Cell lengths 4.6497, 4.8354, 5.1643 Å; angles 90.00, 90.00, 90.00 degrees
Last column: nearest neighbours and their distance in Å.
Positions (direct):
Pr 0.0000 0.0000 0.0000  4 Bi 3.35, 4 Hg 3.47, 4 Tl 3.54
Tl 0.0000 0.5000 0.5000  4 Hg 3.35, 4 Bi 3.47, 4 Pr 3.54
Hg 0.5000 0.0000 0.5000  4 Tl 3.35, 4 Pr 3.47, 4 Bi 3.54
Bi 0.5000 0.5000 0.0000  4 Pr 3.35, 4 Tl 3.47, 4 Hg 3.54

Values from the calculation:
Energy relative to the elements in meV/atom: -433
V in A^3/atom: 29.027
DOS at the Fermi energy in states/eV per cell: 2.44
Distance to the lowest polymorph of the same formula in eV/f.u.: 0.00
Size of the total moment in μB/f.u.: 0.00
Calculated total energy in eV/atom: -3.27

=====

# 4
Here is PrTlHgBi after structural relaxation from Alexandria via LeMat-Bulk. Energies are from PBE-GGA.

Cell lengths 5.5631, 5.5631, 5.5631 Å; angles 60.00, 60.00, 60.00 degrees
Last column: nearest neighbours and their distance in Å.
Positions (direct):
Pr 0.0000 0.0000 0.0000  4 Hg 3.41, 4 Bi 3.41
Tl 0.5000 0.5000 0.5000  4 Hg 3.41, 4 Bi 3.41
Hg 0.2500 0.2500 0.2500  4 Tl 3.41, 4 Pr 3.41
Bi 0.7500 0.7500 0.7500  4 Tl 3.41, 4 Pr 3.41

Values from the calculation:
Energy relative to the elements in meV/atom: -330
V in A^3/atom: 30.436
DOS at the Fermi energy in states/eV per cell: 2.33
Distance to the lowest polymorph of the same formula in eV/f.u.: 0.41
Size of the total moment in μB/f.u.: 0.00
Calculated total energy in eV/atom: -3.16

=====

# 5
Here is PrTmHgBi after structural relaxation from Alexandria via LeMat-Bulk. Energies are from PBE-GGA.

Cell lengths 5.4447, 5.4447, 5.4447 Å; angles 60.00, 60.00, 60.00 degrees
Last column: nearest neighbours and their distance in Å.
Positions (direct):
Pr 0.0000 0.0000 0.0000  4 Hg 3.33, 4 Bi 3.33
Tm 0.5000 0.5000 0.5000  4 Hg 3.33, 4 Bi 3.33
Hg 0.2500 0.2500 0.2500  4 Pr 3.33, 4 Tm 3.33
Bi 0.7500 0.7500 0.7500  4 Pr 3.33, 4 Tm 3.33

Values from the calculation:
Energy relative to the elements in meV/atom: -495
V in A^3/atom: 28.533
DOS at the Fermi energy in states/eV per cell: 4.19
Size of the total moment in μB/f.u.: 0.00
Calculated total energy in eV/atom: -3.85

=====

# 6
Here is HgBiPt3 after structural relaxation from Alexandria via LeMat-Bulk. Energies are from PBE-GGA.

Cell lengths 5.0177, 5.0177, 5.0177 Å; angles 90.00, 90.00, 90.00 degrees
Last column: nearest neighbours and their distance in Å.
Positions (direct):
Hg 0.0000 0.0000 0.0000  6 Pt 2.51
Bi 0.5000 0.5000 0.5000  12 Pt 3.55
Pt 0.0000 0.0000 0.5000  2 Hg 2.51
Pt 0.0000 0.5000 0.0000  2 Hg 2.51
Pt 0.5000 0.0000 0.0000  2 Hg 2.51

Values from the calculation:
Energy relative to the elements in meV/atom: 1023
V in A^3/atom: 25.266
DOS at the Fermi energy in states/eV per cell: 2.96
Distance to the lowest polymorph of the same formula in eV/f.u.: 0.00
Size of the total moment in μB/f.u.: 0.00
Calculated total energy in eV/atom: -3.44

=====

# 7
Here is HgBi2Pt2 after structural relaxation from Alexandria via LeMat-Bulk. Energies are from PBE-GGA.

Cell lengths 7.5520, 7.5520, 3.9953 Å; angles 90.00, 90.00, 90.00 degrees
Last column: nearest neighbours and their distance in Å.
Positions (direct):
Hg 0.0000 0.0000 0.0000  4 Pt 2.93
Hg 0.5000 0.5000 0.0000  4 Pt 2.93
Bi 0.1609 0.3391 0.5000  6 Pt 2.95-3.01
Bi 0.3391 0.8391 0.5000  6 Pt 2.95-3.01
Bi 0.6609 0.1609 0.5000  6 Pt 2.95-3.01
Bi 0.8391 0.6609 0.5000  6 Pt 2.95-3.01
Pt 0.1361 0.6361 0.0000  1 Pt 2.91, 2 Hg 2.93, 6 Bi 2.95-3.01
Pt 0.3639 0.1361 0.0000  1 Pt 2.91, 2 Hg 2.93, 6 Bi 2.95-3.01
Pt 0.6361 0.8639 0.0000  1 Pt 2.91, 2 Hg 2.93, 6 Bi 2.95-3.01
Pt 0.8639 0.3639 0.0000  1 Pt 2.91, 2 Hg 2.93, 6 Bi 2.95-3.01

Values from the calculation:
Energy relative to the elements in meV/atom: -85
V in A^3/atom: 22.786
DOS at the Fermi energy in states/eV per cell: 4.92
Distance to the lowest polymorph of the same formula in eV/f.u.: 0.43
Size of the total moment in μB/f.u.: 0.00
Calculated total energy in eV/atom: -4.11

=====

# 8
Here is Hg2Bi4Pt after structural relaxation from Alexandria via LeMat-Bulk. Energies are from PBE-GGA.

Cell lengths 4.0932, 6.0231, 8.4549 Å; angles 83.82, 87.38, 87.91 degrees
Last column: nearest neighbours and their distance in Å.
Positions (direct):
Hg 0.1012 0.2348 0.4844  2 Hg 2.96-3.31, 3 Bi 3.04-3.28
Hg 0.8988 0.7652 0.5156  2 Hg 2.96-3.31, 3 Bi 3.04-3.28
Bi 0.0238 0.7472 0.8724  2 Pt 2.83-2.84, 1 Hg 3.07
Bi 0.4759 0.6667 0.2473  1 Pt 2.74, 1 Hg 3.04
Bi 0.5241 0.3333 0.7527  1 Pt 2.74, 1 Hg 3.04
Bi 0.9762 0.2528 0.1276  2 Pt 2.83-2.84, 1 Hg 3.07
Pt 0.5000 0.0000 0.0000  6 Bi 2.74-2.84

Values from the calculation:
Energy relative to the elements in meV/atom: -24
V in A^3/atom: 29.558
DOS at the Fermi energy in states/eV per cell: 2.73
Size of the total moment in μB/f.u.: 0.00
Calculated total energy in eV/atom: -3.19